A relaxed structure of TaAg4Ru, computed with PBE-GGA.

Calculated values
Theoretical density: 11.42 Mg/m³
Total magnetic moment: 0.000 μB/cell
N(E_F): 5.30 states/eV per cell
E_form: 60.1 kJ/mol of atoms

Unit cell a=5.274 b=5.274 c=5.274 alpha=60.00 beta=60.00 gamma=60.00
Fractional coordinates of all 6 atoms:
1 Ta 0.000 0.000 0.000
2 Ag 0.375 0.375 0.375
3 Ag 0.375 0.375 0.875
4 Ag 0.375 0.875 0.375
5 Ag 0.875 0.375 0.375
6 Ru 0.750 0.750 0.750

---

A relaxed structure of TaAg3Ru, computed with PBE-GGA.

Calculated values
Theoretical density: 8.13 Mg/m³
Total magnetic moment: 0.001 μB/cell
N(E_F): 12.52 states/eV per cell
E_form: 215.3 kJ/mol of atoms
Excess energy over the best structure of this formula in the dataset: 234 meV per atom

Unit cell a=4.982 b=4.982 c=4.982 alpha=90.00 beta=90.00 gamma=90.00
Fractional coordinates of all 5 atoms:
1 Ta 0.000 0.000 0.000
2 Ag 0.000 0.000 0.500
3 Ag 0.000 0.500 0.000
4 Ag 0.500 0.000 0.000
5 Ru 0.500 0.500 0.500